1.
TlSn2Hg2, relaxed, DFT PBE; energy of formation = 0.2585 eV per atom; total energy = -1.94 eV per atom; energy above the lowest structure with this stoichiometry = 211 meV/atom; N(E_F) = 3.05 states/eV per cell
1.0
-2.123 2.123 10.819
2.123 -2.123 10.819
2.123 2.123 -10.819
Tl Sn Hg
1 2 2
direct
0.000 0.000 0.000
0.250 0.750 0.500
0.750 0.250 0.500
0.136 0.136 0.000
0.864 0.864 0.000


2.
Li2Dy3ScSe6, relaxed, DFT PBE; total energy = -5.44 eV per atom; energy relative to the elements, uncorrected = -1700 meV per atom; N(E_F) = 2.94 states/eV per cell
1.0
3.471 -6.009 0.000
3.471 6.009 0.000
-2.312 0.000 6.457
Li Dy Sc Se
2 3 1 6
direct
0.167 0.833 0.000
0.833 0.167 0.000
0.000 0.000 0.500
0.332 0.668 0.500
0.668 0.332 0.500
0.500 0.500 0.000
0.089 0.422 0.765
0.247 0.247 0.238
0.422 0.089 0.765
0.578 0.911 0.235
0.753 0.753 0.762
0.911 0.578 0.235


3.
Sm8CoSb2, relaxed, DFT PBE; total energy = -5.23 eV per atom; energy relative to the elements, uncorrected = -405 meV per atom; N(E_F) = 11.95 states/eV per cell
1.0
9.483 -2.319 0.000
9.483 2.319 0.000
-1.048 0.000 7.452
Sm Co Sb
8 1 2
direct
0.004 0.004 0.284
0.215 0.215 0.848
0.360 0.360 0.469
0.405 0.405 0.983
0.595 0.595 0.017
0.640 0.640 0.531
0.785 0.785 0.152
0.996 0.996 0.716
0.500 0.500 0.500
0.182 0.182 0.270
0.818 0.818 0.730


- Which of these has the highest N(E_F)?
  Sm8CoSb2